NiP2BrO after structural relaxation, computed with PBE+U.

Its density of states at the Fermi level is 2.50 states/eV/f.u. The value obtained for the raw total energy is -2.606 eV per atom. The total magnetic moment is 0.22 μB/atom.

It has space group P4/mmm (No. 123), with a = 5.008 Å, b = 5.008 Å, c = 3.613 Å, α = 90.00°, β = 90.00° and γ = 90.00°. Symmetry generates all atoms from Ni at (0.000, 0.000, 0.000), P at (0.000, 0.500, 0.500), Br at (0.500, 0.500, 0.500) and O at (0.500, 0.500, 0.000).